Compound: Sr2TlVO6
Source: the Alexandria database
Functional: PBE+U
Structure: optimized geometry

POSCAR file:
```
Sr2TlVO6
1.0
4.630 0.000 0.000
0.000 5.666 0.000
0.000 0.000 5.666
O Sr V Tl
6 2 1 1
Direct
0.226 0.000 0.000 O
0.703 0.775 0.225 O
0.703 0.775 0.775 O
0.133 0.500 0.500 O
0.703 0.225 0.225 O
0.703 0.225 0.775 O
0.041 0.500 0.000 Sr
0.041 0.000 0.500 Sr
0.596 0.000 0.000 V
0.598 0.500 0.500 Tl
```

Results
- Electronic total energy: -63.11 eV/f.u.
- Magnetization: 0.000 μB per cell